18
Lattice="-3.151 0.121 4.515 -1.778 -2.577 -4.530 4.728 -9.512 3.554" Properties=species:S:1:pos:R:3 comment="PBE+U KMnGaF6, optimized geometry" total_magnetization_mub_per_atom=0.556 dft_energy_ev_per_cell=-95.2 crystal_system=trigonal volume_a3_per_cell=294.2 pbc="T T T"
K 0.000 0.000 0.000
K 2.364 -4.756 1.777
Mn -1.054 -4.056 -0.627
Mn 0.853 -7.912 4.166
Ga -1.511 -3.156 2.389
Ga 1.310 -8.811 1.151
F -2.365 -2.941 0.667
F -2.981 -2.271 3.280
F 0.217 -8.666 -0.437
F 2.780 -9.696 0.259
F -0.241 -4.191 1.362
F -2.496 -4.750 2.864
F 0.366 -10.486 1.357
F -0.418 -3.302 3.976
F 2.295 -7.217 0.675
F -0.567 -1.482 2.182
F 0.040 -7.777 2.177
F 2.164 -9.026 2.872